Density functional theory data (PBE-GGA) for GdDyNO after structural relaxation.

Properties
E above lowest polymorph   40 meV per atom
Raw total energy   -7.806 eV/atom
Calculated density   8.7 g/cm³
Volume   16.7 A^3/atom

CIF file:
```
data_GdDyNO
_cell_length_a 8.094
_cell_length_b 6.637
_cell_length_c 4.971
_cell_angle_alpha 90.00
_cell_angle_beta 90.00
_cell_angle_gamma 90.00
_space_group_name_H-M_alt 'P 1'
_space_group_IT_number 1
_space_group_name_Hall 'P 1'
loop_
_atom_site_label
_atom_site_type_symbol
_atom_site_fract_x
_atom_site_fract_y
_atom_site_fract_z
_atom_site_occupancy
Gd1 Gd 0.128 0.082 0.250 1
Gd2 Gd 0.128 0.418 0.750 1
Gd3 Gd 0.872 0.582 0.250 1
Gd4 Gd 0.872 0.918 0.750 1
Dy1 Dy 0.378 0.571 0.250 1
Dy2 Dy 0.378 0.929 0.750 1
Dy3 Dy 0.622 0.071 0.250 1
Dy4 Dy 0.622 0.429 0.750 1
N1 N 0.128 0.068 0.750 1
N2 N 0.128 0.432 0.250 1
N3 N 0.872 0.568 0.750 1
N4 N 0.872 0.932 0.250 1
O1 O 0.372 0.595 0.750 1
O2 O 0.372 0.905 0.250 1
O3 O 0.628 0.095 0.750 1
O4 O 0.628 0.405 0.250 1
```